No. 1
A plane-wave DFT calculation with PBE was carried out for a relaxed structure of BaTl2Zn.

## Properties
VASP energy	-2.1138	eV per atom

Cell: 3.9892 3.9958 7.8065 Å, 90.00 90.00 90.00°
Fractional positions:
Tl 0.0000 0.0000 0.0396
Tl 0.5000 0.5000 0.2729
Ba 0.5000 0.5000 0.7359
Zn 0.0000 0.0000 0.4516


No. 2
A plane-wave DFT calculation with PBE was carried out for a relaxed structure of Ti2VNi.

## Properties
VASP energy	-7.6507	eV per atom

Cell: 2.8177 2.8177 8.6740 Å, 80.65 80.65 60.00°
Fractional positions:
Ti 0.0802 0.0802 0.7595
Ti 0.2529 0.2529 0.2414
V 0.4995 0.4995 0.5015
Ni 0.6675 0.6675 0.9976